# 1
# Ce2SmAs2Se2

Crystalline Ce2SmAs2Se2 at its relaxed geometry (PBE, Alexandria via LeMat-Bulk).

## Properties
Uncorrected formation energy = -1111 meV/atom

Lattice parameters (Å, degrees): 5.4342 5.4342 14.5887 90.00 90.00 90.00
With the nearest neighbours (Å) after each atom.
Space group I4/mmm (No. 139)
One atom of each set of equivalent atoms:
Ce 0.0000 0.0000 0.1168 [4 per cell]  1 Se 2.72
Sm 0.0000 0.0000 0.5000 [2 per cell]  4 As 2.72, 2 Se 2.87
As 0.0000 0.5000 0.0000 [4 per cell]  2 Sm 2.72
Se 0.0000 0.0000 0.3034 [4 per cell]  1 Ce 2.72, 1 Sm 2.87

# 2
# Ce4SnAs2Se

Crystalline Ce4SnAs2Se at its relaxed geometry (PBE, Alexandria via LeMat-Bulk).

## Properties
Uncorrected formation energy = -1286 meV/atom

Lattice parameters (Å, degrees): 7.4230 4.2770 7.4604 90.00 109.28 90.00
With the nearest neighbours (Å) after each atom.
Space group P2/m (No. 10)
One atom of each set of equivalent atoms:
Ce 0.2391 0.0000 0.2360 [2 per cell]  3 As 2.96-3.02, 1 Se 3.06, 2 Sn 3.11
Ce 0.2482 0.5000 0.7604 [2 per cell]  3 As 2.96-3.01, 2 Se 3.06, 1 Sn 3.11
Sn 0.5000 0.5000 0.5000 [1 per cell]  6 Ce 3.11
As 0.0000 0.5000 0.0000 [1 per cell]  6 Ce 2.96
As 0.5000 0.0000 0.0000 [1 per cell]  6 Ce 3.01-3.02
Se 0.0000 0.0000 0.5000 [1 per cell]  6 Ce 3.06

Taking the records one at a time from the top gives size of the total moment values of 1.1, 3.0 μB/f.u..